Density functional theory data (GGA-PBE) for crystalline Zn6CoNi3 at its relaxed geometry.

POSCAR file:
```
Zn6CoNi3
1.0
6.934 0.000 0.000
0.000 4.234 0.000
-3.271 0.000 8.552
Zn Co Ni
12 2 6
direct
0.001 0.250 0.166
0.006 0.250 0.668
0.209 0.750 0.137
0.219 0.250 0.483
0.397 0.750 0.927
0.427 0.250 0.280
0.573 0.750 0.720
0.603 0.250 0.073
0.781 0.750 0.517
0.791 0.250 0.863
0.994 0.750 0.332
0.999 0.750 0.834
0.399 0.750 0.433
0.601 0.250 0.567
0.184 0.750 0.628
0.200 0.250 0.972
0.401 0.250 0.775
0.599 0.750 0.225
0.800 0.750 0.028
0.816 0.250 0.372
```

formation energy: -0.14 eV/atom

Density functional theory data (GGA-PBE) for crystalline SiNiCl2 at its relaxed geometry.

POSCAR file:
```
SiNiCl2
1.0
3.079 0.000 0.000
0.000 4.023 0.000
0.000 0.000 5.670
Si Ni Cl
1 1 2
direct
0.000 0.000 0.000
0.500 0.000 0.500
0.000 0.500 0.500
0.500 0.500 0.000
```

E_form (uncorrected): 310 meV per atom
excess energy over the best structure of this formula in the dataset: 764 meV/atom

Density functional theory data (GGA-PBE) for crystalline Np2PaSiC4 at its relaxed geometry.

POSCAR file:
```
Np2PaSiC4
1.0
1.736 -5.570 0.000
1.736 5.570 0.000
0.000 0.000 11.679
Np Pa Si C
4 2 2 8
direct
0.132 0.868 0.550
0.132 0.868 0.950
0.868 0.132 0.050
0.868 0.132 0.450
0.396 0.604 0.750
0.604 0.396 0.250
0.339 0.661 0.250
0.661 0.339 0.750
0.066 0.934 0.750
0.227 0.773 0.130
0.227 0.773 0.370
0.500 0.500 0.000
0.500 0.500 0.500
0.773 0.227 0.630
0.773 0.227 0.870
0.934 0.066 0.250
```

E_form (uncorrected): -12 meV per atom

Density functional theory data (GGA-PBE) for crystalline Gd3MgIr at its relaxed geometry.

POSCAR file:
```
Gd3MgIr
1.0
5.452 0.000 0.000
0.000 5.452 0.000
0.000 0.000 5.452
Gd Mg Ir
3 1 1
direct
0.000 0.000 0.500
0.000 0.500 0.000
0.500 0.000 0.000
0.500 0.500 0.500
0.000 0.000 0.000
```

formation energy: -0.28 eV/atom

Density functional theory data (GGA-PBE) for crystalline BaSiTc at its relaxed geometry.

POSCAR file:
```
BaSiTc
1.0
0.000 3.370 3.370
3.370 0.000 3.370
3.370 3.370 0.000
Ba Si Tc
1 1 1
direct
0.000 0.000 0.000
0.250 0.250 0.250
0.500 0.500 0.500
```

E_form (uncorrected): 918 meV per atom
excess energy over the best structure of this formula in the dataset: 1214 meV/atom

Density functional theory data (GGA-PBE) for crystalline KTl4Au at its relaxed geometry.

POSCAR file:
```
KTl4Au
1.0
0.000 4.565 4.565
4.565 0.000 4.565
4.565 4.565 0.000
K Tl Au
1 4 1
direct
0.000 0.000 0.000
0.128 0.624 0.624
0.624 0.128 0.624
0.624 0.624 0.128
0.624 0.624 0.624
0.250 0.250 0.250
```

excess energy over the best structure of this formula in the dataset: 210 meV/atom
formation energy: 0.09 eV/atom

Density functional theory data (GGA-PBE) for crystalline Rb2CdMoBr6 at its relaxed geometry.

POSCAR file:
```
Rb2CdMoBr6
1.0
-3.928 3.928 5.567
3.928 -3.928 5.567
3.928 3.928 -5.567
Rb Cd Mo Br
2 1 1 6
direct
0.250 0.750 0.500
0.750 0.250 0.500
0.000 0.000 0.000
0.500 0.500 0.000
0.262 0.262 0.000
0.262 0.262 0.523
0.262 0.738 0.000
0.738 0.262 0.000
0.738 0.738 0.000
0.738 0.738 0.477
```

E_form (uncorrected): -968 meV per atom

Density functional theory data (GGA-PBE) for crystalline NaYSbBr2 at its relaxed geometry.

POSCAR file:
```
NaYSbBr2
1.0
4.980 0.000 0.000
0.000 4.980 0.000
0.000 0.000 6.727
Na Y Sb Br
1 1 1 2
direct
0.000 0.000 0.000
0.000 0.000 0.500
0.500 0.500 0.500
0.000 0.500 0.000
0.500 0.000 0.000
```

E_form (uncorrected): -232 meV per atom
excess energy over the best structure of this formula in the dataset: 171 meV/atom

Density functional theory data (GGA-PBE) for crystalline Pm2MgSb at its relaxed geometry.

POSCAR file:
```
Pm2MgSb
1.0
4.081 0.000 0.000
0.000 4.081 0.000
0.000 0.000 6.816
Pm Mg Sb
2 1 1
direct
0.000 0.000 0.242
0.000 0.000 0.758
0.500 0.500 0.500
0.500 0.500 0.000
```

E_form (uncorrected): -588 meV per atom
excess energy over the best structure of this formula in the dataset: 0 meV/atom

Density functional theory data (GGA-PBE) for crystalline Cs2TlBrCl6 at its relaxed geometry.

POSCAR file:
```
Cs2TlBrCl6
1.0
-3.786 3.786 6.150
3.786 -3.786 6.150
3.786 3.786 -6.150
Cs Tl Br Cl
2 1 1 6
direct
0.250 0.750 0.500
0.750 0.250 0.500
0.000 0.000 0.000
0.500 0.500 0.000
0.216 0.216 0.000
0.248 0.248 0.496
0.248 0.752 0.000
0.752 0.248 0.000
0.752 0.752 0.504
0.784 0.784 0.000
```

E_form (uncorrected): -1003 meV per atom

Density functional theory data (GGA-PBE) for crystalline Mg3Al18V2 at its relaxed geometry.

POSCAR file:
```
Mg3Al18V2
1.0
0.000 7.295 7.295
7.295 0.000 7.295
7.295 7.295 0.000
Mg Al V
6 36 4
direct
0.000 0.000 0.000
0.000 0.000 0.500
0.000 0.500 0.000
0.125 0.125 0.125
0.500 0.000 0.000
0.875 0.875 0.875
0.058 0.325 0.325
0.058 0.325 0.793
0.058 0.793 0.325
0.207 0.675 0.675
0.207 0.675 0.942
0.207 0.942 0.675
0.234 0.234 0.516
0.234 0.516 0.234
0.234 0.516 0.516
0.325 0.058 0.325
0.325 0.058 0.793
0.325 0.325 0.058
0.325 0.325 0.793
0.325 0.793 0.058
0.325 0.793 0.325
0.484 0.484 0.766
0.484 0.766 0.484
0.484 0.766 0.766
0.516 0.234 0.234
0.516 0.234 0.516
0.516 0.516 0.234
0.675 0.207 0.675
0.675 0.207 0.942
0.675 0.675 0.207
0.675 0.675 0.942
0.675 0.942 0.207
0.675 0.942 0.675
0.766 0.484 0.484
0.766 0.484 0.766
0.766 0.766 0.484
0.793 0.058 0.325
0.793 0.325 0.058
0.793 0.325 0.325
0.942 0.207 0.675
0.942 0.675 0.207
0.942 0.675 0.675
0.000 0.500 0.500
0.500 0.000 0.500
0.500 0.500 0.000
0.500 0.500 0.500
```

formation energy: -0.15 eV/atom

Density functional theory data (GGA-PBE) for crystalline LiMg2Sn2 at its relaxed geometry.

POSCAR file:
```
LiMg2Sn2
1.0
-2.320 2.320 6.244
2.320 -2.320 6.244
2.320 2.320 -6.244
Li Mg Sn
1 2 2
direct
0.000 0.000 0.000
0.250 0.750 0.500
0.750 0.250 0.500
0.390 0.390 0.000
0.610 0.610 0.000
```

excess energy over the best structure of this formula in the dataset: 30 meV/atom
formation energy: -0.11 eV/atom

Density functional theory data (GGA-PBE) for crystalline Y2CoRh at its relaxed geometry.

POSCAR file:
```
Y2CoRh
1.0
0.000 3.356 3.356
3.356 0.000 3.356
3.356 3.356 0.000
Y Co Rh
2 1 1
direct
0.000 0.000 0.000
0.250 0.250 0.250
0.750 0.750 0.750
0.500 0.500 0.500
```

formation energy: 0.00 eV/atom

Density functional theory data (GGA-PBE) for crystalline Au2Br at its relaxed geometry.

POSCAR file:
```
Au2Br
1.0
-1.868 1.868 9.821
1.868 -1.868 9.821
1.868 1.868 -9.821
Au Br
4 2
direct
0.300 0.550 0.750
0.450 0.700 0.750
0.550 0.300 0.250
0.700 0.450 0.250
0.125 0.875 0.250
0.875 0.125 0.750
```

E_form (uncorrected): 383 meV per atom
excess energy over the best structure of this formula in the dataset: 360 meV/atom

Density functional theory data (GGA-PBE) for crystalline NaHg6 at its relaxed geometry.

POSCAR file:
```
NaHg6
1.0
-4.152 4.152 4.152
4.152 -4.152 4.152
4.152 4.152 -4.152
Na Hg
1 6
direct
0.000 0.000 0.000
0.250 0.500 0.750
0.250 0.750 0.500
0.500 0.250 0.750
0.500 0.750 0.250
0.750 0.250 0.500
0.750 0.500 0.250
```

excess energy over the best structure of this formula in the dataset: 205 meV/atom
formation energy: 0.10 eV/atom

Density functional theory data (GGA-PBE) for crystalline Sc2CdRh3 at its relaxed geometry.

POSCAR file:
```
Sc2CdRh3
1.0
3.224 0.000 0.000
0.000 3.224 0.000
0.000 0.000 9.696
Sc Cd Rh
2 1 3
direct
0.000 0.000 0.170
0.000 0.000 0.830
0.000 0.000 0.500
0.500 0.500 0.000
0.500 0.500 0.323
0.500 0.500 0.677
```

excess energy over the best structure of this formula in the dataset: 28 meV/atom
formation energy: -0.77 eV/atom

Density functional theory data (GGA-PBE) for crystalline Ti2Nb2Mo at its relaxed geometry.

POSCAR file:
```
Ti2Nb2Mo
1.0
3.027 -4.263 0.000
3.027 4.263 0.000
-2.756 0.000 6.863
Ti Nb Mo
4 4 2
direct
0.031 0.651 0.795
0.349 0.969 0.205
0.651 0.031 0.795
0.969 0.349 0.205
0.254 0.254 0.927
0.399 0.399 0.625
0.601 0.601 0.375
0.746 0.746 0.073
0.180 0.820 0.500
0.820 0.180 0.500
```

excess energy over the best structure of this formula in the dataset: 0 meV/atom
formation energy: 0.14 eV/atom

Density functional theory data (GGA-PBE) for crystalline ZrTl2Pb at its relaxed geometry.

POSCAR file:
```
ZrTl2Pb
1.0
3.321 0.000 0.000
0.000 3.321 0.000
0.000 0.000 9.656
Zr Tl Pb
1 2 1
direct
0.000 0.000 0.000
0.500 0.500 0.227
0.500 0.500 0.773
0.000 0.000 0.500
```

excess energy over the best structure of this formula in the dataset: 97 meV/atom
formation energy: 0.12 eV/atom

Density functional theory data (GGA-PBE) for crystalline Cd2CoP at its relaxed geometry.

POSCAR file:
```
Cd2CoP
1.0
-2.008 2.008 4.206
2.008 -2.008 4.206
2.008 2.008 -4.206
Cd Co P
2 1 1
direct
0.000 0.000 0.000
0.750 0.250 0.500
0.250 0.750 0.500
0.500 0.500 0.000
```

formation energy: 0.39 eV/atom

Density functional theory data (GGA-PBE) for crystalline BaGa2HgGe at its relaxed geometry.

POSCAR file:
```
BaGa2HgGe
1.0
-2.383 2.386 5.493
2.383 -2.386 5.493
2.383 2.386 -5.493
Ba Ga Hg Ge
1 2 1 1
direct
0.000 0.000 0.000
0.378 0.378 0.000
0.747 0.247 0.500
0.255 0.755 0.500
0.614 0.614 0.000
```

excess energy over the best structure of this formula in the dataset: 0 meV/atom
formation energy: -0.37 eV/atom

no.,volume (Å³ per atom)
1,12.6
2,17.6
3,14.1
4,32.4
5,25.5
6,31.7
7,34.4
8,33.4
9,28.4
10,35.3
11,16.9
12,26.9
13,18.9
14,22.8
15,40.9
16,16.8
17,17.7
18,26.6
19,17.0
20,25.0